DFT (PBE with a Hubbard U) results for Mn2NiO6 after structural relaxation.

Results
- polymorph energy (0 for the lowest one) (kJ/mol of atoms) = 0.89
- symmetry = No. 162
- total DFT energy (no corrections) (eV/f.u.) = -56.18

Geometry as POSCAR:
```
Mn2NiO6
1.0
-3.782 -2.434 -0.629
2.457 -2.994 -3.187
-0.108 -1.096 4.893
Mn Ni O
2 1 6
Cartesian
-0.289 -3.578 -0.808
-1.144 -2.946 1.885
-1.891 -1.217 -0.314
0.481 -3.455 0.964
-1.133 -1.066 1.422
-0.400 -2.784 3.665
-1.914 -3.069 0.113
-0.300 -5.458 -0.345
-1.034 -3.740 -2.588
```